Entry 1:
The following is a PBE calculation of a geometry-optimized Ce3ErTm2Te6 structure, from Alexandria via LeMat-Bulk.

## Properties
ρ   7.8 g/cm³
Crystal system   monoclinic
Formation energy (no corrections)   -1.294 eV/atom

a b c (Å): 4.334 8.935 9.915
angles (deg): 105.01 102.62 90.00
Each line ends with the local moment (μB).
Element x y z (fractional)
Te: 0.996 0.758 0.992  -0.01
Tm: 0.167 0.333 0.333  -0.01
Ce: 0.500 0.500 0.000  1.03
Te: 0.336 0.908 0.673  -0.01
Te: 0.004 0.242 0.008  -0.01
Er: 0.500 0.000 0.000  -0.01
Ce: 0.166 0.833 0.332  1.04
Te: 0.330 0.426 0.659  -0.01
Te: 0.664 0.092 0.327  -0.01
Ce: 0.834 0.167 0.668  1.04
Tm: 0.833 0.667 0.667  -0.01
Te: 0.670 0.574 0.341  -0.01

***

Entry 2:
The following is a PBE calculation of a geometry-optimized SrLaGa structure, from Alexandria via LeMat-Bulk.

## Properties
ρ   4.6 g/cm³
Energy relative to the elements   -277 meV/atom
Offset from the most stable computed form   92 meV per atom
Crystal system   orthorhombic

a b c (Å): 7.161 4.108 7.495
angles (deg): 105.91 90.00 90.00
Element x y z (fractional)
La: 0.991 0.338 0.539
Ga: 0.251 0.733 0.330
Sr: 0.213 0.056 0.975
La: 0.491 0.353 0.570
Sr: 0.713 0.635 0.134
Ga: 0.751 0.958 0.778

***

Entry 3:
The following is a PBE calculation of a geometry-optimized ZnCrCoMo structure, from Alexandria via LeMat-Bulk.

## Properties
ρ   8.7 g/cm³
Energy relative to the elements   182 meV/atom
Crystal system   cubic

a b c (Å): 4.190 4.190 4.190
angles (deg): 60.00 60.00 60.00
Each line ends with the local moment (μB).
Element x y z (fractional)
Co: 0.500 0.500 0.500  0.07
Cr: 0.000 0.000 0.000  1.24
Mo: 0.750 0.750 0.750  -0.41
Zn: 0.250 0.250 0.250  0.01

***

Entry 4:
The following is a PBE calculation of a geometry-optimized SrMg2RhPb structure, from Alexandria via LeMat-Bulk.

## Properties
ρ   5.5 g/cm³
Energy relative to the elements   -282 meV/atom
Crystal system   tetragonal

a b c (Å): 5.057 5.057 5.286
angles (deg): 90.00 90.00 90.00
Element x y z (fractional)
Rh: 0.000 0.000 0.000
Mg: 0.500 0.000 0.000
Sr: 0.500 0.500 0.500
Pb: 0.000 0.000 0.500
Mg: 0.000 0.500 0.000

***

Entry 5:
The following is a PBE calculation of a geometry-optimized SiPO2F structure, from Alexandria via LeMat-Bulk.

## Properties
ρ   2.8 g/cm³
Crystal system   tetragonal
Formation energy (no corrections)   0.776 eV/atom

a b c (Å): 4.378 4.378 3.421
angles (deg): 90.00 90.00 90.00
Each line ends with the local moment (μB).
Element x y z (fractional)
Si: 0.500 0.500 0.500  -0.02
F: 0.000 0.000 0.000  0.06
O: 0.000 0.500 0.000  0.31
P: 0.000 0.000 0.500  -0.10
O: 0.500 0.000 0.000  0.31

***

Entry 6:
The following is a PBE calculation of a geometry-optimized Pr2SnBr3 structure, from Alexandria via LeMat-Bulk.

## Properties
ρ   4.6 g/cm³
Crystal system   monoclinic
Formation energy (no corrections)   -1.368 eV/atom

a b c (Å): 4.300 10.136 11.049
angles (deg): 82.74 78.78 77.76
Element x y z (fractional)
Br: 0.050 0.138 0.761
Pr: 0.129 0.576 0.167
Sn: 0.430 0.512 0.628
Sn: 0.570 0.488 0.372
Br: 0.325 0.326 0.025
Pr: 0.616 0.205 0.564
Br: 0.243 0.122 0.393
Pr: 0.871 0.424 0.833
Br: 0.757 0.878 0.607
Br: 0.675 0.674 0.975
Br: 0.950 0.862 0.239
Pr: 0.384 0.795 0.436

***

Number 1: D(E_F) 21.79 states/eV/f.u., total DFT energy (no corrections) -0.4023 Ry per atom, calculated volume 361 Å³/cell. Number 2: D(E_F) 4.53 states/eV/f.u., total DFT energy (no corrections) -0.2564 Ry per atom, calculated volume 212 Å³/cell. Number 3: D(E_F) 3.89 states/eV/f.u., total DFT energy (no corrections) -0.5165 Ry per atom, calculated volume 52 Å³/cell. Number 4: D(E_F) 3.82 states/eV/f.u., total DFT energy (no corrections) -0.2549 Ry per atom, calculated volume 135 Å³/cell. Number 5: D(E_F) 3.36 states/eV/f.u., total DFT energy (no corrections) -0.2755 Ry per atom, calculated volume 66 Å³/cell. Number 6: D(E_F) 0.83 states/eV/f.u., total DFT energy (no corrections) -0.3282 Ry per atom, calculated volume 460 Å³/cell.